No. 1
The following is a DFT calculation (PBE-GGA) of an optimized crystal structure of AsPbBr2.

```
AsPbBr2
1.0
-2.7607 1.3183 2.0587
-0.0570 -5.2362 3.2766
3.1225 -3.3381 6.3248
Pb Br As
1 2 1
Direct
0.5000 0.5000 0.5000
0.0000 0.0000 0.0000
0.5000 0.5000 0.0000
0.0000 0.0000 0.5000
```

Values from the calculation:
* M_tot: 0.00 μB/cell
* formation energy from raw total energies: -22 kJ/mol of formula units
* space group: P2/m, No. 10
* polymorph energy (0 for the lowest one): 224 meV per atom


No. 2
The following is a DFT calculation (PBE-GGA) of an optimized crystal structure of As2PbBr.

```
As2PbBr
1.0
9.7925 -0.0289 -0.0171
9.1049 3.6050 -0.0171
9.1049 1.7230 3.1667
Pb As Br
1 2 1
Direct
0.7541 0.7541 0.7541
0.2669 0.2669 0.2669
0.9818 0.9818 0.9818
0.4972 0.4972 0.4972
```

Values from the calculation:
* M_tot: 0.00 μB/cell
* formation energy from raw total energies: -63 kJ/mol of formula units
* space group: R3m, No. 160
* polymorph energy (0 for the lowest one): 43 meV per atom


No. 3
The following is a DFT calculation (PBE-GGA) of an optimized crystal structure of As2PbBr.

```
As2PbBr
1.0
-3.2682 2.8989 -5.7379
-5.9802 -2.8743 -2.8256
3.4966 3.0724 5.5084
As Pb Br
2 1 1
Direct
0.2292 0.7292 0.5000
0.0993 0.0993 0.0000
0.6760 0.1760 0.5000
0.4954 0.4954 0.0000
```

Values from the calculation:
* M_tot: 0.00 μB/cell
* formation energy from raw total energies: -45 kJ/mol of formula units
* space group: Imm2, No. 44
* polymorph energy (0 for the lowest one): 88 meV per atom


No. 4
The following is a DFT calculation (PBE-GGA) of an optimized crystal structure of As2PbBr.

```
As2PbBr
1.0
3.7400 0.0000 0.0000
0.0000 4.2118 -0.0120
0.0000 1.3680 7.8549
As Pb Br
2 1 1
Direct
0.0000 0.8975 0.1082
0.5000 0.2827 0.0610
0.5000 0.8927 0.7630
0.0000 0.4272 0.5678
```

Values from the calculation:
* M_tot: 0.00 μB/cell
* formation energy from raw total energies: -79 kJ/mol of formula units
* space group: Pm, No. 6
* polymorph energy (0 for the lowest one): 0 meV per atom


No. 5
The following is a DFT calculation (PBE-GGA) of an optimized crystal structure of As2PbBr.

```
As2PbBr
1.0
3.8030 -3.3158 0.8555
-0.9919 -5.0122 0.2896
1.5501 -3.1353 -3.7359
Br As Pb
1 2 1
Direct
0.0000 0.0000 0.0000
0.2500 0.2500 0.2500
0.7500 0.7500 0.7500
0.5000 0.5000 0.5000
```

Values from the calculation:
* M_tot: 0.00 μB/cell
* formation energy from raw total energies: 162 kJ/mol of formula units
* space group: Fm-3m, No. 225
* polymorph energy (0 for the lowest one): 623 meV per atom


No. 6
The following is a DFT calculation (PBE-GGA) of an optimized crystal structure of AsPbBr2.

```
AsPbBr2
1.0
-1.6408 -1.7393 -3.5376
2.2546 -3.5535 0.7014
-6.1838 -3.0604 4.3729
Br Pb As
2 1 1
Direct
0.5000 0.5000 0.3067
0.0000 0.0000 0.9610
0.0000 0.0000 0.6369
0.5000 0.5000 0.5954
```

Values from the calculation:
* M_tot: 0.00 μB/cell
* formation energy from raw total energies: -107 kJ/mol of formula units
* space group: P4mm, No. 99
* polymorph energy (0 for the lowest one): 2 meV per atom


No. 7
The following is a DFT calculation (PBE-GGA) of an optimized crystal structure of AsPbBr2.

```
AsPbBr2
1.0
-0.4560 -0.5896 -5.0439
4.2568 -3.1366 2.3189
-1.0237 -4.9684 0.1935
Pb Br As
1 2 1
Direct
0.0000 0.5000 0.5000
0.5000 0.0000 0.5000
0.0000 0.0000 0.0000
0.5000 0.5000 0.0000
```

Values from the calculation:
* M_tot: 0.00 μB/cell
* formation energy from raw total energies: -37 kJ/mol of formula units
* space group: C2/m, No. 12
* polymorph energy (0 for the lowest one): 185 meV per atom


No. 8
The following is a DFT calculation (PBE-GGA) of an optimized crystal structure of AsPbBr2.

```
AsPbBr2
1.0
2.0737 0.0000 10.2071
-1.0369 1.7959 10.2071
-1.0369 -1.7959 10.2071
As Br Pb
1 2 1
Direct
0.0000 0.0000 0.0000
0.0846 0.0846 0.0846
0.9154 0.9154 0.9154
0.5000 0.5000 0.5000
```

Values from the calculation:
* M_tot: 0.00 μB/cell
* formation energy from raw total energies: -28 kJ/mol of formula units
* space group: R-3m, No. 166
* polymorph energy (0 for the lowest one): 208 meV per atom


No. 9
The following is a DFT calculation (PBE-GGA) of an optimized crystal structure of AsPbBr2.

```
AsPbBr2
1.0
-2.7266 -3.2066 -2.5409
3.4531 -0.1654 -3.4961
1.9554 -3.3175 2.0883
Br Pb As
2 1 1
Direct
0.5000 0.5000 0.0000
0.0000 0.0000 0.0000
0.5000 0.0000 0.5000
0.0000 0.5000 0.5000
```

Values from the calculation:
* M_tot: 0.00 μB/cell
* formation energy from raw total energies: 35 kJ/mol of formula units
* space group: P4/mmm, No. 123
* polymorph energy (0 for the lowest one): 371 meV per atom


No. 10
The following is a DFT calculation (PBE-GGA) of an optimized crystal structure of As2PbBr.

```
As2PbBr
1.0
3.7488 -0.0321 0.0000
-1.4403 3.4613 0.0000
0.0000 0.0000 8.1081
As Br Pb
2 1 1
Direct
0.0000 0.0000 0.9904
0.0000 0.0000 0.5096
0.5000 0.5000 0.2500
0.5000 0.5000 0.7500
```

Values from the calculation:
* M_tot: 0.00 μB/cell
* formation energy from raw total energies: 157 kJ/mol of formula units
* space group: Cmmm, No. 65
* polymorph energy (0 for the lowest one): 611 meV per atom


No. 11
The following is a DFT calculation (PBE-GGA) of an optimized crystal structure of AsPbBr2.

```
AsPbBr2
1.0
-1.7223 2.9346 -1.3507
-1.5957 -3.2941 0.0694
-3.5996 1.9286 8.7796
Br Pb As
2 1 1
Direct
0.0000 0.0000 0.9670
0.0000 0.0000 0.5330
0.5000 0.5000 0.2500
0.5000 0.5000 0.7500
```

Values from the calculation:
* M_tot: 0.00 μB/cell
* formation energy from raw total energies: 10 kJ/mol of formula units
* space group: Cmmm, No. 65
* polymorph energy (0 for the lowest one): 305 meV per atom


No. 12
The following is a DFT calculation (PBE-GGA) of an optimized crystal structure of AsPbBr2.

```
AsPbBr2
1.0
-4.2692 8.5142 -1.3662
-7.0012 6.2475 -2.1297
-6.3013 7.1514 1.3167
As Pb Br
1 1 2
Direct
0.7500 0.7500 0.7500
0.2500 0.2500 0.2500
0.0029 0.0029 0.0029
0.4971 0.4971 0.4971
```

Values from the calculation:
* M_tot: 0.00 μB/cell
* formation energy from raw total energies: 45 kJ/mol of formula units
* space group: R-3m, No. 166
* polymorph energy (0 for the lowest one): 397 meV per atom


No. 13
The following is a DFT calculation (PBE-GGA) of an optimized crystal structure of AsPbBr2.

```
AsPbBr2
1.0
3.7286 0.0000 0.0000
0.0000 3.7286 0.0000
0.0000 0.0000 8.5047
Br Pb As
2 1 1
Direct
0.0000 0.0000 0.9115
0.5000 0.5000 0.3079
0.0000 0.0000 0.5239
0.5000 0.5000 0.7568
```

Values from the calculation:
* M_tot: 0.00 μB/cell
* formation energy from raw total energies: -17 kJ/mol of formula units
* space group: P4mm, No. 99
* polymorph energy (0 for the lowest one): 236 meV per atom


No. 14
The following is a DFT calculation (PBE-GGA) of an optimized crystal structure of As2PbBr8.

```
As2PbBr8
1.0
7.6008 0.7514 0.5702
1.0224 8.2329 -0.4332
1.0224 1.7996 8.0455
Br Pb As
8 1 2
Direct
0.6935 0.2116 0.2116
0.2126 0.9184 0.2921
0.7874 0.0816 0.7079
0.1978 0.3581 0.3581
0.8022 0.6419 0.6419
0.7874 0.7079 0.0816
0.2126 0.2921 0.9184
0.3065 0.7884 0.7884
0.0000 0.0000 0.0000
0.6359 0.8276 0.8276
0.3641 0.1724 0.1724
```

Values from the calculation:
* M_tot: 0.00 μB/cell
* formation energy from raw total energies: -515 kJ/mol of formula units
* space group: C2/m, No. 12


No. 15
The following is a DFT calculation (PBE-GGA) of an optimized crystal structure of As2PbBr2.

```
As2PbBr2
1.0
7.5768 0.0000 0.0000
0.0000 7.5768 0.0000
0.0000 0.0000 5.3435
As Br Pb
4 4 2
Direct
0.3851 0.8851 0.0000
0.8851 0.6149 0.0000
0.1149 0.3851 0.0000
0.6149 0.1149 0.0000
0.6671 0.1671 0.5000
0.1671 0.3329 0.5000
0.8329 0.6671 0.5000
0.3329 0.8329 0.5000
0.0000 0.0000 0.0000
0.5000 0.5000 0.0000
```

Values from the calculation:
* M_tot: 0.00 μB/cell
* formation energy from raw total energies: -45 kJ/mol of formula units
* space group: P4/mbm, No. 127
* polymorph energy (0 for the lowest one): 0 meV per atom


No. 16
The following is a DFT calculation (PBE-GGA) of an optimized crystal structure of As2PbBr.

```
As2PbBr
1.0
-2.0407 1.9605 5.6100
0.0392 -0.9770 6.2068
4.1292 3.1603 1.1649
Pb Br As
1 1 2
Direct
0.2500 0.2500 0.2500
0.7500 0.7500 0.7500
0.5114 0.5114 0.3991
0.9886 0.9886 0.1009
```

Values from the calculation:
* M_tot: 0.00 μB/cell
* formation energy from raw total energies: -51 kJ/mol of formula units
* space group: C2/m, No. 12
* polymorph energy (0 for the lowest one): 73 meV per atom


No. 17
The following is a DFT calculation (PBE-GGA) of an optimized crystal structure of As2PbBr2.

```
As2PbBr2
1.0
5.2255 0.0000 0.0000
0.0000 5.2255 0.0000
2.6128 2.6128 5.4897
As Br Pb
2 2 1
Direct
0.3985 0.3985 0.2031
0.6015 0.6015 0.7969
0.7500 0.2500 0.5000
0.2500 0.7500 0.5000
0.0000 0.0000 0.0000
```

Values from the calculation:
* M_tot: 0.00 μB/cell
* formation energy from raw total energies: 66 kJ/mol of formula units
* space group: I4/mmm, No. 139
* polymorph energy (0 for the lowest one): 232 meV per atom


No. 18
The following is a DFT calculation (PBE-GGA) of an optimized crystal structure of As4PbBr.

```
As4PbBr
1.0
5.3817 -0.9198 2.6142
0.5225 0.2621 6.0250
0.9982 -5.0567 3.1743
As Br Pb
4 1 1
Direct
0.3959 0.8124 0.3959
0.3959 0.3959 0.3959
0.3959 0.3959 0.8124
0.8124 0.3959 0.3959
0.7500 0.7500 0.7500
0.0000 0.0000 0.0000
```

Values from the calculation:
* M_tot: 0.00 μB/cell
* formation energy from raw total energies: 65 kJ/mol of formula units
* space group: F-43m, No. 216


No. 19
The following is a DFT calculation (PBE-GGA) of an optimized crystal structure of AsPb2Br2.

```
AsPb2Br2
1.0
-4.3839 -0.0523 -6.6949
-6.0333 -3.4384 3.9775
-1.7565 4.3732 1.1160
As Pb Br
2 4 4
Direct
0.0000 0.0000 0.0000
0.5000 0.5000 0.0000
0.6650 0.1650 0.0000
0.8350 0.6650 0.0000
0.1650 0.3350 0.0000
0.3350 0.8350 0.0000
0.6651 0.8349 0.5000
0.1651 0.6651 0.5000
0.8349 0.3349 0.5000
0.3349 0.1651 0.5000
```

Values from the calculation:
* M_tot: 2.04 μB/cell
* formation energy from raw total energies: -120 kJ/mol of formula units
* space group: P4/mbm, No. 127


No. 20
The following is a DFT calculation (PBE-GGA) of an optimized crystal structure of As2PbBr.

```
As2PbBr
1.0
7.0698 0.0000 0.0000
0.0000 7.0698 0.0000
3.5349 3.5349 5.5288
As Br Pb
4 2 2
Direct
0.3750 0.3644 0.7500
0.6356 0.1250 0.2500
0.1144 0.6250 0.2500
0.8750 0.8856 0.7500
0.2500 0.7500 0.5000
0.5000 0.5000 0.0000
0.0000 0.0000 0.0000
0.7500 0.2500 0.5000
```

Values from the calculation:
* M_tot: 0.00 μB/cell
* formation energy from raw total energies: 168 kJ/mol of formula units
* space group: I-42d, No. 122
* polymorph energy (0 for the lowest one): 640 meV per atom


No. 21
The following is a DFT calculation (PBE-GGA) of an optimized crystal structure of AsPbBr2.

```
AsPbBr2
1.0
-0.3211 -2.2422 2.8145
-2.7077 -1.7106 -1.6717
6.6373 -6.3232 -4.2802
Br As Pb
2 1 1
Direct
0.0000 0.0000 0.0673
0.0000 0.0000 0.4327
0.5000 0.5000 0.7500
0.5000 0.5000 0.2500
```

Values from the calculation:
* M_tot: 1.23 μB/cell
* formation energy from raw total energies: 24 kJ/mol of formula units
* space group: P4/mmm, No. 123
* polymorph energy (0 for the lowest one): 342 meV per atom


No. 22
The following is a DFT calculation (PBE-GGA) of an optimized crystal structure of AsPbBr2.

```
AsPbBr2
1.0
4.9346 0.0000 0.0000
0.0000 4.9346 0.0000
2.4673 2.4673 9.8159
Pb Br As
2 4 2
Direct
0.0000 0.0000 0.0000
0.7500 0.2500 0.5000
0.3750 0.3971 0.7500
0.1471 0.6250 0.2500
0.6029 0.1250 0.2500
0.8750 0.8529 0.7500
0.2500 0.7500 0.5000
0.5000 0.5000 0.0000
```

Values from the calculation:
* M_tot: 0.00 μB/cell
* formation energy from raw total energies: -13 kJ/mol of formula units
* space group: I-42d, No. 122
* polymorph energy (0 for the lowest one): 245 meV per atom


No. 23
The following is a DFT calculation (PBE-GGA) of an optimized crystal structure of As2PbBr.

```
As2PbBr
1.0
9.3287 -0.0677 -0.0400
8.6749 3.4315 -0.0400
8.6749 1.6208 3.0249
As Pb Br
2 1 1
Direct
0.9996 0.9996 0.9996
0.5004 0.5004 0.5004
0.7500 0.7500 0.7500
0.2500 0.2500 0.2500
```

Values from the calculation:
* M_tot: 0.00 μB/cell
* formation energy from raw total energies: 159 kJ/mol of formula units
* space group: R-3m, No. 166
* polymorph energy (0 for the lowest one): 616 meV per atom


No. 24
The following is a DFT calculation (PBE-GGA) of an optimized crystal structure of AsPbBr2.

```
AsPbBr2
1.0
-3.8196 8.8774 1.3597
-6.0724 6.7579 3.5642
-2.7336 7.9914 4.8899
Br Pb As
2 1 1
Direct
0.2346 0.2346 0.2346
0.0174 0.0174 0.0174
0.4936 0.4936 0.4936
0.7544 0.7544 0.7544
```

Values from the calculation:
* M_tot: 0.00 μB/cell
* formation energy from raw total energies: 19 kJ/mol of formula units
* space group: R3m, No. 160
* polymorph energy (0 for the lowest one): 330 meV per atom


No. 25
The following is a DFT calculation (PBE-GGA) of an optimized crystal structure of AsPbBr2.

```
AsPbBr2
1.0
-2.2925 3.4191 2.7649
-0.4093 -2.4933 2.7439
7.0467 1.1859 4.3762
Pb Br As
1 2 1
Direct
0.0000 0.4833 0.6651
0.5000 0.1395 0.3051
0.0000 0.8623 0.9388
0.5000 0.0149 0.5911
```

Values from the calculation:
* M_tot: 0.00 μB/cell
* formation energy from raw total energies: -108 kJ/mol of formula units
* space group: Pm, No. 6
* polymorph energy (0 for the lowest one): 0 meV per atom


No. 26
The following is a DFT calculation (PBE-GGA) of an optimized crystal structure of As2PbBr.

```
As2PbBr
1.0
-0.1437 4.7874 -1.8838
-5.0257 0.2678 1.0766
3.3625 -1.2050 3.7054
As Pb Br
2 1 1
Direct
0.2500 0.7500 0.5000
0.0000 0.0000 0.0000
0.7500 0.2500 0.5000
0.5000 0.5000 0.0000
```

Values from the calculation:
* M_tot: 0.00 μB/cell
* formation energy from raw total energies: 90 kJ/mol of formula units
* space group: F-43m, No. 216
* polymorph energy (0 for the lowest one): 437 meV per atom


No. 27
The following is a DFT calculation (PBE-GGA) of an optimized crystal structure of As2PbBr.

```
As2PbBr
1.0
-1.3454 2.2723 5.4940
-2.7754 -2.4104 0.3173
2.8798 -3.7805 2.2688
Br As Pb
1 2 1
Direct
0.5000 0.2500 0.2500
0.0000 0.9785 0.9051
0.0000 0.5215 0.5949
0.5000 0.7500 0.7500
```

Values from the calculation:
* M_tot: 0.00 μB/cell
* formation energy from raw total energies: -55 kJ/mol of formula units
* space group: P2/m, No. 10
* polymorph energy (0 for the lowest one): 62 meV per atom


No. 28
The following is a DFT calculation (PBE-GGA) of an optimized crystal structure of AsPbBr2.

```
AsPbBr2
1.0
0.0000 3.8152 3.8152
3.8152 0.0000 3.8152
3.8152 3.8152 0.0000
Pb Br As
1 2 1
Direct
0.5000 0.5000 0.5000
0.7500 0.7500 0.7500
0.2500 0.2500 0.2500
0.0000 0.0000 0.0000
```

Values from the calculation:
* M_tot: 2.27 μB/cell
* formation energy from raw total energies: 49 kJ/mol of formula units
* space group: Fm-3m, No. 225
* polymorph energy (0 for the lowest one): 407 meV per atom


No. 29
The following is a DFT calculation (PBE-GGA) of an optimized crystal structure of AsPbBr2.

```
AsPbBr2
1.0
-5.5970 -3.8179 -0.7210
-2.3599 -2.8280 -5.7320
5.6036 0.8351 3.7849
Pb Br As
1 2 1
Direct
0.5000 0.5000 0.0000
0.2500 0.7500 0.5000
0.0000 0.0000 0.0000
0.7500 0.2500 0.5000
```

Values from the calculation:
* M_tot: 0.00 μB/cell
* formation energy from raw total energies: 7 kJ/mol of formula units
* space group: I-4m2, No. 119
* polymorph energy (0 for the lowest one): 299 meV per atom